1.
4
Lattice="3.4778 0.0000 0.0000 0.0000 3.6119 0.0000 -0.0832 0.0000 5.5645" Properties=species:S:1:pos:R:3 comment="GGA-PBE Be2AlTe, optimized geometry" e_form_raw_ev_per_fu=1.69 e_above_lowest_polymorph_mev_per_atom=211 space_group="P2/m (10)" density_g_cm3=4.10 pbc="T T T"
Be -0.0110 0.0000 1.0142
Be 3.4056 0.0000 4.5503
Al 1.7389 1.8059 0.0000
Te -0.0416 1.8059 2.7823

---

2.
5
Lattice="5.0340 0.0000 0.0000 0.0000 5.0340 0.0000 0.0000 0.0000 5.0340" Properties=species:S:1:pos:R:3 comment="GGA-PBE BeAlTe3, optimized geometry" e_form_raw_ev_per_fu=1.91 e_above_lowest_polymorph_mev_per_atom=0 space_group="Pm-3m (221)" density_g_cm3=5.45 pbc="T T T"
Be 0.0000 0.0000 0.0000
Al 2.5170 2.5170 2.5170
Te 0.0000 0.0000 2.5170
Te 0.0000 2.5170 0.0000
Te 2.5170 0.0000 0.0000

---

3.
4
Lattice="2.9545 0.0000 0.0000 0.0000 3.7212 0.0000 0.0000 0.0000 6.9292" Properties=species:S:1:pos:R:3 comment="GGA-PBE BeAl2Te, optimized geometry" e_form_raw_ev_per_fu=0.83 e_above_lowest_polymorph_mev_per_atom=108 space_group="Pmm2 (25)" density_g_cm3=4.15 pbc="T T T"
Be 0.0000 0.0000 0.0000
Al 0.0000 0.0000 2.6515
Al 1.4772 1.8606 1.1695
Te 0.0000 1.8606 5.1964

---

4.
4
Lattice="2.7801 -3.5237 0.0000 2.7801 3.5237 0.0000 -0.8873 0.0000 3.3900" Properties=species:S:1:pos:R:3 comment="GGA-PBE Be2AlTe, optimized geometry" e_form_raw_ev_per_fu=2.42 e_above_lowest_polymorph_mev_per_atom=394 space_group="C2/m (12)" density_g_cm3=4.32 pbc="T T T"
Be 1.3900 1.7618 0.0000
Be 1.3900 -1.7618 0.0000
Al -0.4437 0.0000 1.6950
Te 2.3364 0.0000 1.6950

---

5.
6
Lattice="4.1190 0.0000 0.0000 2.0567 3.6130 0.0000 0.0461 1.4414 9.6861" Properties=species:S:1:pos:R:3 comment="GGA-PBE BeAlTe, optimized geometry" e_form_raw_ev_per_fu=-0.11 e_above_lowest_polymorph_mev_per_atom=0 space_group="P1 (1)" density_g_cm3=3.77 pbc="T T T"
Be 0.0000 0.0000 0.0000
Be 2.0653 1.1291 0.0220
Al 1.8129 3.8139 7.5062
Al 4.0516 2.3600 0.2725
Te 1.7873 2.3838 2.1654
Te 3.8695 2.6107 6.1973

---

6.
3
Lattice="0.0000 3.3045 3.3045 3.3045 0.0000 3.3045 3.3045 3.3045 0.0000" Properties=species:S:1:pos:R:3 comment="GGA-PBE BeAlTe, optimized geometry" e_form_raw_ev_per_fu=2.34 e_above_lowest_polymorph_mev_per_atom=815 space_group="F-43m (216)" density_g_cm3=3.76 pbc="T T T"
Be 0.0000 0.0000 0.0000
Al 3.3045 3.3045 3.3045
Te 1.6523 1.6523 1.6523

---

7.
4
Lattice="2.7082 -3.8759 0.0000 2.7082 3.8759 0.0000 0.0000 0.0000 3.6178" Properties=species:S:1:pos:R:3 comment="GGA-PBE BeAl2Te, optimized geometry" e_form_raw_ev_per_fu=1.86 e_above_lowest_polymorph_mev_per_atom=367 space_group="Cmmm (65)" density_g_cm3=4.17 pbc="T T T"
Be 0.0000 0.0000 0.0000
Al 1.3541 1.9380 1.8089
Al 1.3541 -1.9380 1.8089
Te 2.7082 0.0000 0.0000

---

8.
6
Lattice="3.7500 0.0000 0.0000 0.0006 3.9692 0.0000 1.6268 0.0713 9.6831" Properties=species:S:1:pos:R:3 comment="GGA-PBE BeAlTe, optimized geometry" e_form_raw_ev_per_fu=-0.10 e_above_lowest_polymorph_mev_per_atom=3 space_group="P-1 (2)" density_g_cm3=3.77 pbc="T T T"
Be 0.9376 0.0442 0.5658
Be 4.4397 3.9963 9.1173
Al 2.5649 2.0619 8.6359
Al 2.8124 1.9786 1.0472
Te 0.9371 1.0342 2.7517
Te 4.4402 3.0063 6.9314